Entry 1:
VASP calculation (PBE-GGA) on GeCl3F4 after structural relaxation.

Values from the calculation:
The uncorrected formation energy comes out at -1.358 eV per atom.

Geometry as CIF:
```
data_GeCl3F4
_cell_length_a 8.432
_cell_length_b 3.875
_cell_length_c 12.446
_cell_angle_alpha 90.00
_cell_angle_beta 92.45
_cell_angle_gamma 90.00
_space_group_name_H-M_alt 'P 1 21 1'
_space_group_IT_number 4
loop_
_space_group_symop_operation_xyz
'x,y,z'
'-x,y+1/2,-z'
loop_
_atom_site_label
_atom_site_type_symbol
_atom_site_fract_x
_atom_site_fract_y
_atom_site_fract_z
Ge1 Ge 0.024 0.000 0.259
Cl1 Cl 0.398 0.996 0.975
Cl2 Cl 0.427 0.993 0.755
Cl3 Cl 0.450 0.991 0.594
F1 F 0.024 0.501 0.259
F2 F 0.067 0.501 0.867
F3 F 0.084 0.501 0.628
F4 F 0.227 0.001 0.271
```


Entry 2:
VASP calculation (PBE-GGA) on GeClF after structural relaxation.

Values from the calculation:
The uncorrected formation energy comes out at -1.418 eV per atom.

Geometry as CIF:
```
data_GeClF
_cell_length_a 4.673
_cell_length_b 5.743
_cell_length_c 6.399
_cell_angle_alpha 80.67
_cell_angle_beta 89.37
_cell_angle_gamma 71.54
_space_group_name_H-M_alt 'P 1'
_space_group_IT_number 1
loop_
_space_group_symop_operation_xyz
'x,y,z'
loop_
_atom_site_label
_atom_site_type_symbol
_atom_site_fract_x
_atom_site_fract_y
_atom_site_fract_z
Ge1 Ge 0.000 0.000 0.000
Ge2 Ge 0.262 0.413 0.578
Cl1 Cl 0.001 0.831 0.669
Cl2 Cl 0.435 0.703 0.158
F1 F 0.233 0.218 0.875
F2 F 0.635 0.403 0.666
```


Entry 3:
VASP calculation (PBE-GGA) on GeClF after structural relaxation.

Values from the calculation:
The uncorrected formation energy comes out at -1.379 eV per atom.

Geometry as CIF:
```
data_GeClF
_cell_length_a 8.850
_cell_length_b 8.454
_cell_length_c 5.587
_cell_angle_alpha 90.00
_cell_angle_beta 128.08
_cell_angle_gamma 90.00
_space_group_name_H-M_alt 'C 1 2 1'
_space_group_IT_number 5
loop_
_space_group_symop_operation_xyz
'x,y,z'
'-x,y,-z'
'x+1/2,y+1/2,z'
'-x+1/2,y+1/2,-z'
loop_
_atom_site_label
_atom_site_type_symbol
_atom_site_fract_x
_atom_site_fract_y
_atom_site_fract_z
Ge1 Ge 0.237 0.000 0.479
Cl1 Cl 0.000 0.149 0.000
Cl2 Cl 0.000 0.856 0.500
F1 F 0.242 0.663 0.293
```


Entry 4:
VASP calculation (PBE-GGA) on GeCl3F after structural relaxation.

Values from the calculation:
The uncorrected formation energy comes out at -0.303 eV per atom. The value obtained for the energy above the most stable polymorph in this dataset is 475 kJ/mol of formula units.

Geometry as CIF:
```
data_GeCl3F
_cell_length_a 4.747
_cell_length_b 4.747
_cell_length_c 4.747
_cell_angle_alpha 90.00
_cell_angle_beta 90.00
_cell_angle_gamma 90.00
_space_group_name_H-M_alt 'P m -3 m'
_space_group_IT_number 221
_space_group_name_Hall '-P 4 2 3'
loop_
_atom_site_label
_atom_site_type_symbol
_atom_site_fract_x
_atom_site_fract_y
_atom_site_fract_z
Ge1 Ge 0.000 0.000 0.000
Cl1 Cl 0.000 0.000 0.500
F1 F 0.500 0.500 0.500
```


Entry 5:
VASP calculation (PBE-GGA) on Ge4Cl3F4 after structural relaxation.

Values from the calculation:
The uncorrected formation energy comes out at -1.212 eV per atom.

Geometry as CIF:
```
data_Ge4Cl3F4
_cell_length_a 3.367
_cell_length_b 9.279
_cell_length_c 13.337
_cell_angle_alpha 90.00
_cell_angle_beta 90.00
_cell_angle_gamma 90.00
_space_group_name_H-M_alt 'I m m m'
_space_group_IT_number 71
_space_group_name_Hall '-I 2 2'
loop_
_atom_site_label
_atom_site_type_symbol
_atom_site_fract_x
_atom_site_fract_y
_atom_site_fract_z
Ge1 Ge 0.000 0.000 0.214
Ge2 Ge 0.000 0.259 0.500
Cl1 Cl 0.000 0.000 0.000
Cl2 Cl 0.000 0.500 0.135
F1 F 0.000 0.338 0.348
```


Entry 6:
VASP calculation (PBE-GGA) on Ge2ClF2 after structural relaxation.

Values from the calculation:
The uncorrected formation energy comes out at -1.092 eV per atom. The value obtained for the energy above the most stable polymorph in this dataset is 0 kJ/mol of formula units.

Geometry as CIF:
```
data_Ge2ClF2
_cell_length_a 4.062
_cell_length_b 4.062
_cell_length_c 10.543
_cell_angle_alpha 90.00
_cell_angle_beta 90.00
_cell_angle_gamma 90.00
_space_group_name_H-M_alt 'I 4/m m m'
_space_group_IT_number 139
_space_group_name_Hall '-I 4 2'
loop_
_atom_site_label
_atom_site_type_symbol
_atom_site_fract_x
_atom_site_fract_y
_atom_site_fract_z
Ge1 Ge 0.000 0.000 0.139
Cl1 Cl 0.000 0.000 0.500
F1 F 0.000 0.500 0.250
```


Entry 7:
VASP calculation (PBE-GGA) on GeHClF2 after structural relaxation.

Values from the calculation:
The electronic total energy comes out at -3.405 eV/atom.

Geometry as CIF:
```
data_GeHClF2
_cell_length_a 4.198
_cell_length_b 4.198
_cell_length_c 3.386
_cell_angle_alpha 90.00
_cell_angle_beta 90.00
_cell_angle_gamma 90.00
_space_group_name_H-M_alt 'P 4/m m m'
_space_group_IT_number 123
_space_group_name_Hall '-P 4 2'
loop_
_atom_site_label
_atom_site_type_symbol
_atom_site_fract_x
_atom_site_fract_y
_atom_site_fract_z
Ge1 Ge 0.000 0.000 0.000
H1 H 0.500 0.500 0.500
Cl1 Cl 0.500 0.500 0.000
F1 F 0.000 0.500 0.500
```


Entry 8:
VASP calculation (PBE-GGA) on GeIrCl2F after structural relaxation.

Values from the calculation:
The uncorrected formation energy comes out at 0.478 eV per atom.

Geometry as CIF:
```
data_GeIrCl2F
_cell_length_a 4.777
_cell_length_b 4.777
_cell_length_c 4.924
_cell_angle_alpha 90.00
_cell_angle_beta 90.00
_cell_angle_gamma 90.00
_space_group_name_H-M_alt 'P 4/m m m'
_space_group_IT_number 123
_space_group_name_Hall '-P 4 2'
loop_
_atom_site_label
_atom_site_type_symbol
_atom_site_fract_x
_atom_site_fract_y
_atom_site_fract_z
Ge1 Ge 0.000 0.000 0.000
Ir1 Ir 0.000 0.000 0.500
Cl1 Cl 0.000 0.500 0.000
F1 F 0.500 0.500 0.500
```


| no. | N(E_F) (states/eV/cell) |
| --- | --- |
| 1 | 2.70 |
| 2 | 0.00 |
| 3 | 0.00 |
| 4 | 11.96 |
| 5 | 3.68 |
| 6 | 4.23 |
| 7 | 0.00 |
| 8 | 5.20 |